(1)
Sc4CdCoNi2: relaxed, PBE-GGA.

Results
- SG = R-3m, No. 166
- magnetization (μB per atom) = 0.000
- ΔE_f (kcal/mol of atoms) = -8.5

Geometry as extended XYZ:
```
8
Lattice="4.591 0.000 0.000 2.296 3.976 0.000 2.296 1.325 7.594" Properties=species:S:1:pos:R:3 pbc="T T T"
Sc 4.591 2.651 6.399
Sc 6.887 3.976 3.010
Sc 2.296 1.325 4.584
Sc 4.591 2.651 1.195
Cd 0.000 0.000 0.000
Co 4.591 2.651 3.797
Ni 6.887 3.976 5.675
Ni 2.296 1.325 1.918
```

=====

(2)
SrCdCoNi2: relaxed, PBE-GGA.

Results
- SG = P4/mmm, No. 123
- magnetization (μB per atom) = 0.261
- ΔE_f (kcal/mol of atoms) = 18.8

Geometry as extended XYZ:
```
5
Lattice="4.824 0.000 0.000 0.000 4.833 0.000 0.000 0.000 4.824" Properties=species:S:1:pos:R:3 pbc="T T T"
Sr 2.412 2.417 2.412
Co 0.000 2.417 0.000
Ni 0.000 0.000 2.412
Ni 2.412 0.000 0.000
Cd 0.000 0.000 0.000
```

=====

(3)
Cd2CoNiTe: relaxed, PBE-GGA.

Results
- formation energy (no corrections) (eV per formula unit) = 5.57
- SG = P4/mmm, No. 123
- magnetization (μB per atom) = 0.485

Geometry as extended XYZ:
```
5
Lattice="-0.294 2.917 4.895 2.514 -3.240 2.082 4.769 2.809 -1.387" Properties=species:S:1:pos:R:3 pbc="T T T"
Ni 1.257 -1.620 1.041
Te 0.000 0.000 0.000
Co 3.494 1.243 2.795
Cd 2.385 1.404 -0.693
Cd -0.147 1.458 2.448
```

=====

(4)
ZnCdCoNi2: relaxed, PBE-GGA.

Results
- SG = P4/mmm, No. 123
- magnetization (μB per atom) = 0.427
- ΔE_f (kcal/mol of atoms) = 25.3

Geometry as extended XYZ:
```
5
Lattice="4.346 0.000 0.000 0.000 4.746 0.000 0.000 0.000 4.346" Properties=species:S:1:pos:R:3 pbc="T T T"
Ni 0.000 0.000 2.173
Ni 2.173 0.000 0.000
Zn 0.000 0.000 0.000
Co 2.173 2.373 2.173
Cd 0.000 2.373 0.000
```

=====

(5)
ZrCdCoNi: relaxed, PBE-GGA.

Results
- SG = F-43m, No. 216
- magnetization (μB per atom) = 0.184
- ΔE_f (kcal/mol of atoms) = -3.6

Geometry as extended XYZ:
```
4
Lattice="4.452 0.000 0.000 2.226 3.855 0.000 2.226 1.285 3.635" Properties=species:S:1:pos:R:3 pbc="T T T"
Ni 0.000 0.000 0.000
Co 4.452 2.570 1.817
Zr 2.226 1.285 0.909
Cd 6.678 3.855 2.726
```